Entry 1:
Here is a geometry-optimized Rb2TlBrCl6 structure from the Alexandria database. Energies are from PBE.

Calculated values
* Fermi-level density of states: 0.32 states/eV/atom
* magnetization: 0.0 μB per cell
* formation energy (no corrections): -916 kJ/mol of formula units

a b c (Å): 7.516 7.516 12.165
angles (deg): 90.00 90.00 90.00
Space group I4/mmm (No. 139)
Asymmetric unit:
Rb 0.000 0.500 0.250 (multiplicity 4)
Tl 0.000 0.000 0.000 (multiplicity 2)
Br 0.000 0.000 0.500 (multiplicity 2)
Cl 0.000 0.000 0.219 (multiplicity 4)
Cl 0.249 0.249 0.000 (multiplicity 8)

---

Entry 2:
Here is a geometry-optimized LaGdInGa structure from the Alexandria database. Energies are from PBE.

Calculated values
* Fermi-level density of states: 0.73 states/eV/atom
* magnetization: 28.7 μB per cell
* E_form: -511.2 meV/atom

a b c (Å): 7.589 7.589 7.589
angles (deg): 90.00 90.00 90.00
Space group F-43m (No. 216)
Asymmetric unit:
La 0.000 0.000 0.000 (multiplicity 4)
Gd 0.000 0.000 0.500 (multiplicity 4)
In 0.250 0.250 0.750 (multiplicity 4)
Ga 0.250 0.250 0.250 (multiplicity 4)

---

Entry 3:
Here is a geometry-optimized CaPr2ErS4 structure from the Alexandria database. Energies are from PBE.

Calculated values
* Fermi-level density of states: 0.41 states/eV/atom
* magnetization: 0.0 μB per cell
* formation energy (no corrections): -1562 kJ/mol of formula units

a b c (Å): 6.919 3.984 7.058
angles (deg): 90.00 108.88 90.00
Space group P2/m (No. 10)
Asymmetric unit:
Ca 0.000 0.000 0.000 (multiplicity 1)
Pr 0.000 0.500 0.500 (multiplicity 1)
Pr 0.500 0.000 0.500 (multiplicity 1)
Er 0.500 0.500 0.000 (multiplicity 1)
S 0.250 0.500 0.234 (multiplicity 2)
S 0.260 0.000 0.770 (multiplicity 2)